Record 1
GGA-PBE AlNi28, relaxed; total energy = -5.473 eV/atom; size of the total moment = 14.5 μB/cell; ρ = 8.70 g/cm³
1.0
-4.3029 4.3029 4.3029
4.3029 -4.3029 4.3029
4.3029 4.3029 -4.3029
Al Ni
1 28
direct
0.0000 0.0000 0.0000
0.6458 0.0000 0.0000
0.3769 0.1905 0.0000
0.1905 0.3769 0.0000
0.6856 0.4086 0.0000
0.0000 0.6458 0.0000
0.4086 0.6856 0.0000
0.8095 0.8095 0.1864
0.3769 0.0000 0.1905
0.0000 0.3769 0.1905
0.5914 0.5914 0.2770
0.7230 0.3144 0.3144
0.3144 0.7230 0.3144
0.3542 0.3542 0.3542
0.1905 0.0000 0.3769
0.0000 0.1905 0.3769
0.6856 0.0000 0.4086
0.0000 0.6856 0.4086
0.5914 0.2770 0.5914
0.2770 0.5914 0.5914
0.6231 0.8136 0.6231
0.8136 0.6231 0.6231
0.0000 0.0000 0.6458
0.4086 0.0000 0.6856
0.0000 0.4086 0.6856
0.3144 0.3144 0.7230
0.8095 0.1864 0.8095
0.1864 0.8095 0.8095
0.6231 0.6231 0.8136



Record 2
GGA-PBE CsTbOs, relaxed; total energy = -3.611 eV/atom; size of the total moment = 0.0 μB/cell; polymorph energy (0 for the lowest one) = 0.891 eV/atom; ρ = 9.79 g/cm³
1.0
0.0000 3.4450 3.4450
3.4450 0.0000 3.4450
3.4450 3.4450 0.0000
Cs Os Tb
1 1 1
direct
0.0000 0.0000 0.0000
0.7500 0.7500 0.7500
0.2500 0.2500 0.2500



Record 3
GGA-PBE LuInFeS3, relaxed; total energy = -5.643 eV/atom; size of the total moment = 8.0 μB/cell; polymorph energy (0 for the lowest one) = 0.020 eV/atom; ρ = 5.28 g/cm³
1.0
-1.9704 -4.1992 -5.6395
-2.3915 -6.4289 -2.5039
-9.6261 3.1985 0.9816
Fe In Lu S
2 2 2 6
direct
0.4668 0.4668 0.2500
0.5332 0.5332 0.7500
0.7497 0.7497 0.2500
0.2503 0.2503 0.7500
0.0000 0.0000 0.0000
0.0000 0.0000 0.5000
0.3765 0.3765 0.0642
0.0615 0.0615 0.2500
0.3765 0.3765 0.4358
0.6235 0.6235 0.5642
0.9385 0.9385 0.7500
0.6235 0.6235 0.9358



Record 4
GGA-PBE TlAgIrSeS2, relaxed; total energy = -4.451 eV/atom; size of the total moment = 0.0 μB/cell; ρ = 7.93 g/cm³
1.0
1.8161 -7.5644 0.0000
1.8161 7.5644 0.0000
0.0000 0.0000 9.8645
Ag Ir S Se Tl
2 2 4 2 2
direct
0.8594 0.1406 0.2500
0.1406 0.8594 0.7500
0.5000 0.5000 0.0000
0.5000 0.5000 0.5000
0.8969 0.1031 0.0138
0.8969 0.1031 0.4862
0.1031 0.8969 0.5138
0.1031 0.8969 0.9862
0.5443 0.4557 0.2500
0.4557 0.5443 0.7500
0.2020 0.7980 0.2500
0.7980 0.2020 0.7500



Record 5
GGA-PBE Cu7Ag3, relaxed; total energy = -3.353 eV/atom; calculated formation energy = 96 meV/atom; polymorph energy (0 for the lowest one) = 0.051 eV/atom; ρ = 9.27 g/cm³
1.0
4.4146 -1.3620 0.0000
4.4146 1.3620 0.0000
-2.2009 0.0000 11.4405
Ag Cu
3 7
direct
0.0000 0.0000 0.0000
0.2005 0.2005 0.3924
0.7995 0.7995 0.6076
0.2964 0.2964 0.1049
0.5985 0.5985 0.1965
0.9036 0.9036 0.2900
0.5000 0.5000 0.5000
0.0964 0.0964 0.7100
0.4015 0.4015 0.8035
0.7036 0.7036 0.8951



Record 6
GGA-PBE MgNpTl, relaxed; total energy = -5.063 eV/atom; size of the total moment = 4.0 μB/cell; ρ = 8.51 g/cm³
1.0
0.0000 3.5677 3.5677
3.5677 0.0000 3.5677
3.5677 3.5677 0.0000
Mg Np Tl
1 1 1
direct
0.2500 0.2500 0.2500
0.7500 0.7500 0.7500
0.0000 0.0000 0.0000